# MnPbO3 (SCAN, PBEsol geometry)
# **Spin magnetization**: 3.01 μB per formula unit
# **Density of states at the Fermi level**: 1.294 states/eV/f.u.
# **Crystal system**: cubic
# **Uncorrected formation energy**: -1658 meV/atom
data_MnPbO3
_cell_length_a 3.8234
_cell_length_b 3.8234
_cell_length_c 3.8234
_cell_angle_alpha 90.00
_cell_angle_beta 90.00
_cell_angle_gamma 90.00
_space_group_name_H-M_alt 'P m -3 m'
_space_group_IT_number 221
_space_group_name_Hall '-P 4 2 3'
loop_
_atom_site_label
_atom_site_fract_x
_atom_site_fract_y
_atom_site_fract_z
_atom_site_occupancy
Mn1 0.0000 0.0000 0.0000 1
Pb1 0.5000 0.5000 0.5000 1
O1 0.0000 0.0000 0.5000 1

***

# MgTlZn2 (SCAN, PBEsol geometry)
# **Spin magnetization**: 0.00 μB per formula unit
# **Formation energy from the elements**: 0.3 eV per formula unit
# **Relative energy among the computed polymorphs**: 0.011 eV/atom
# **Density of states at the Fermi level**: 1.297 states/eV/f.u.
# **Crystal system**: tetragonal
data_MgTlZn2
_cell_length_a 4.2480
_cell_length_b 4.2480
_cell_length_c 8.4074
_cell_angle_alpha 90.00
_cell_angle_beta 90.00
_cell_angle_gamma 90.00
_space_group_name_H-M_alt 'I -4 m 2'
_space_group_IT_number 119
_space_group_name_Hall 'I -4 -2'
loop_
_atom_site_label
_atom_site_fract_x
_atom_site_fract_y
_atom_site_fract_z
_atom_site_occupancy
Mg1 0.0000 0.0000 0.0000 1
Tl1 0.0000 0.5000 0.2500 1
Zn1 0.0000 0.0000 0.5000 1
Zn2 0.0000 0.5000 0.7500 1

***

# CdAsOs (SCAN, PBEsol geometry)
# **Spin magnetization**: 0.00 μB per formula unit
# **Formation energy from the elements**: 4.4 eV per formula unit
# **Relative energy among the computed polymorphs**: 1.290 eV/atom
# **Density of states at the Fermi level**: 2.743 states/eV/f.u.
# **Crystal system**: cubic
data_CdAsOs
_cell_length_a 6.1927
_cell_length_b 6.1927
_cell_length_c 6.1927
_cell_angle_alpha 90.00
_cell_angle_beta 90.00
_cell_angle_gamma 90.00
_space_group_name_H-M_alt 'F -4 3 m'
_space_group_IT_number 216
_space_group_name_Hall 'F -4 2 3'
loop_
_atom_site_label
_atom_site_fract_x
_atom_site_fract_y
_atom_site_fract_z
_atom_site_occupancy
Cd1 0.0000 0.0000 0.0000 1
As1 0.2500 0.2500 0.2500 1
Os1 0.2500 0.2500 0.7500 1

***

# P2AuSO (SCAN, PBEsol geometry)
# **Spin magnetization**: 0.49 μB per formula unit
# **Relative energy among the computed polymorphs**: 0.147 eV/atom
# **Density of states at the Fermi level**: 4.547 states/eV/f.u.
# **Crystal system**: tetragonal
# **Uncorrected formation energy**: 1019 meV/atom
data_P2AuSO
_cell_length_a 4.7809
_cell_length_b 4.7809
_cell_length_c 3.8464
_cell_angle_alpha 90.00
_cell_angle_beta 90.00
_cell_angle_gamma 90.00
_space_group_name_H-M_alt 'P 4/m m m'
_space_group_IT_number 123
_space_group_name_Hall '-P 4 2'
loop_
_atom_site_label
_atom_site_fract_x
_atom_site_fract_y
_atom_site_fract_z
_atom_site_occupancy
P1 0.0000 0.5000 0.0000 1
Au1 0.0000 0.0000 0.0000 1
S1 0.5000 0.5000 0.5000 1
O1 0.0000 0.0000 0.5000 1

***

# Nb3TlW (SCAN, PBEsol geometry)
# **Spin magnetization**: 0.01 μB per formula unit
# **Formation energy from the elements**: 12.9 eV per formula unit
# **Relative energy among the computed polymorphs**: 1.409 eV/atom
# **Density of states at the Fermi level**: 7.638 states/eV/f.u.
# **Crystal system**: cubic
data_Nb3TlW
_cell_length_a 4.9270
_cell_length_b 4.9270
_cell_length_c 4.9270
_cell_angle_alpha 90.00
_cell_angle_beta 90.00
_cell_angle_gamma 90.00
_space_group_name_H-M_alt 'P m -3 m'
_space_group_IT_number 221
_space_group_name_Hall '-P 4 2 3'
loop_
_atom_site_label
_atom_site_fract_x
_atom_site_fract_y
_atom_site_fract_z
_atom_site_occupancy
Nb1 0.0000 0.0000 0.5000 1
Tl1 0.0000 0.0000 0.0000 1
W1 0.5000 0.5000 0.5000 1

***

# CsPBrCl2 (SCAN, PBEsol geometry)
# **Spin magnetization**: 2.03 μB per formula unit
# **Density of states at the Fermi level**: 5.421 states/eV/f.u.
# **Crystal system**: tetragonal
# **Uncorrected formation energy**: 456 meV/atom
data_CsPBrCl2
_cell_length_a 5.7053
_cell_length_b 5.7053
_cell_length_c 9.0553
_cell_angle_alpha 90.00
_cell_angle_beta 90.00
_cell_angle_gamma 90.00
_space_group_name_H-M_alt 'P 4/m m m'
_space_group_IT_number 123
_space_group_name_Hall '-P 4 2'
loop_
_atom_site_label
_atom_site_fract_x
_atom_site_fract_y
_atom_site_fract_z
_atom_site_occupancy
Cs1 0.0000 0.0000 0.0000 1
P1 0.0000 0.0000 0.5000 1
Br1 0.5000 0.5000 0.5000 1
Cl1 0.0000 0.5000 0.0000 1

***

# ZrCrRu (SCAN, PBEsol geometry)
# **Spin magnetization**: 3.27 μB per formula unit
# **Formation energy from the elements**: 0.6 eV per formula unit
# **Relative energy among the computed polymorphs**: 0.000 eV/atom
# **Density of states at the Fermi level**: 3.809 states/eV/f.u.
# **Crystal system**: cubic
data_ZrCrRu
_cell_length_a 6.0191
_cell_length_b 6.0191
_cell_length_c 6.0191
_cell_angle_alpha 90.00
_cell_angle_beta 90.00
_cell_angle_gamma 90.00
_space_group_name_H-M_alt 'F -4 3 m'
_space_group_IT_number 216
_space_group_name_Hall 'F -4 2 3'
loop_
_atom_site_label
_atom_site_fract_x
_atom_site_fract_y
_atom_site_fract_z
_atom_site_occupancy
Zr1 0.0000 0.0000 0.0000 1
Cr1 0.0000 0.0000 0.5000 1
Ru1 0.2500 0.2500 0.2500 1

***

# SrRu2Au (SCAN, PBEsol geometry)
# **Spin magnetization**: 2.21 μB per formula unit
# **Formation energy from the elements**: 3.8 eV per formula unit
# **Density of states at the Fermi level**: 2.978 states/eV/f.u.
# **Crystal system**: trigonal
data_SrRu2Au
_cell_length_a 2.8641
_cell_length_b 2.8641
_cell_length_c 29.1489
_cell_angle_alpha 90.00
_cell_angle_beta 90.00
_cell_angle_gamma 120.00
_space_group_name_H-M_alt 'R -3 m'
_space_group_IT_number 166
_space_group_name_Hall '-R 3 2"'
loop_
_atom_site_label
_atom_site_fract_x
_atom_site_fract_y
_atom_site_fract_z
_atom_site_occupancy
Sr1 0.0000 0.0000 0.0000 1
Ru1 0.0000 0.0000 0.2425 1
Au1 0.0000 0.0000 0.5000 1

***

# ZnCdIn2 (SCAN, PBEsol geometry)
# **Spin magnetization**: 0.00 μB per formula unit
# **Formation energy from the elements**: 0.3 eV per formula unit
# **Relative energy among the computed polymorphs**: 0.000 eV/atom
# **Density of states at the Fermi level**: 1.201 states/eV/f.u.
# **Crystal system**: trigonal
data_ZnCdIn2
_cell_length_a 3.3852
_cell_length_b 3.3852
_cell_length_c 26.0927
_cell_angle_alpha 90.00
_cell_angle_beta 90.00
_cell_angle_gamma 120.00
_space_group_name_H-M_alt 'R -3 m'
_space_group_IT_number 166
_space_group_name_Hall '-R 3 2"'
loop_
_atom_site_label
_atom_site_fract_x
_atom_site_fract_y
_atom_site_fract_z
_atom_site_occupancy
Zn1 0.0000 0.0000 0.0000 1
Cd1 0.0000 0.0000 0.5000 1
In1 0.0000 0.0000 0.2553 1

***

# CaZr2Br (SCAN, PBEsol geometry)
# **Spin magnetization**: 0.00 μB per formula unit
# **Relative energy among the computed polymorphs**: 0.256 eV/atom
# **Density of states at the Fermi level**: 4.304 states/eV/f.u.
# **Crystal system**: tetragonal
# **Uncorrected formation energy**: 84 meV/atom
data_CaZr2Br
_cell_length_a 4.0331
_cell_length_b 4.0331
_cell_length_c 6.2660
_cell_angle_alpha 90.00
_cell_angle_beta 90.00
_cell_angle_gamma 90.00
_space_group_name_H-M_alt 'P 4/m m m'
_space_group_IT_number 123
_space_group_name_Hall '-P 4 2'
loop_
_atom_site_label
_atom_site_fract_x
_atom_site_fract_y
_atom_site_fract_z
_atom_site_occupancy
Ca1 0.0000 0.0000 0.0000 1
Zr1 0.0000 0.5000 0.5000 1
Br1 0.5000 0.5000 0.0000 1

***

# Na3ScPd (SCAN, PBEsol geometry)
# **Spin magnetization**: 2.02 μB per formula unit
# **Formation energy from the elements**: 6.7 eV per formula unit
# **Relative energy among the computed polymorphs**: 0.817 eV/atom
# **Density of states at the Fermi level**: 4.929 states/eV/f.u.
# **Crystal system**: cubic
data_Na3ScPd
_cell_length_a 5.7275
_cell_length_b 5.7275
_cell_length_c 5.7275
_cell_angle_alpha 90.00
_cell_angle_beta 90.00
_cell_angle_gamma 90.00
_space_group_name_H-M_alt 'P m -3 m'
_space_group_IT_number 221
_space_group_name_Hall '-P 4 2 3'
loop_
_atom_site_label
_atom_site_fract_x
_atom_site_fract_y
_atom_site_fract_z
_atom_site_occupancy
Na1 0.0000 0.0000 0.5000 1
Sc1 0.0000 0.0000 0.0000 1
Pd1 0.5000 0.5000 0.5000 1

***

# NaPd2C (SCAN, PBEsol geometry)
# **Spin magnetization**: 0.00 μB per formula unit
# **Formation energy from the elements**: 1.6 eV per formula unit
# **Density of states at the Fermi level**: 1.759 states/eV/f.u.
# **Crystal system**: tetragonal
data_NaPd2C
_cell_length_a 5.4067
_cell_length_b 5.4067
_cell_length_c 11.0204
_cell_angle_alpha 90.00
_cell_angle_beta 90.00
_cell_angle_gamma 90.00
_space_group_name_H-M_alt 'I 41/a m d'
_space_group_IT_number 141
loop_
_space_group_symop_operation_xyz
'x,y,z'
'-x,-y,-z'
'-y+1/4,x+3/4,z+1/4'
'y+1/4,-x+3/4,-z+1/4'
'-x+1/2,-y,z+1/2'
'x+1/2,y,-z+1/2'
'y+1/4,-x+1/4,z+3/4'
'-y+1/4,x+1/4,-z+3/4'
'x,-y,-z'
'-x,y,z'
'-y+1/4,-x+1/4,-z+3/4'
'y+1/4,x+1/4,z+3/4'
'-x+1/2,y,-z+1/2'
'x+1/2,-y,z+1/2'
'y+1/4,x+3/4,-z+1/4'
'-y+1/4,-x+3/4,z+1/4'
'x+1/2,y+1/2,z+1/2'
'-x+1/2,-y+1/2,-z+1/2'
'-y+3/4,x+1/4,z+3/4'
'y+3/4,-x+1/4,-z+3/4'
'-x,-y+1/2,z'
'x,y+1/2,-z'
'y+3/4,-x+3/4,z+1/4'
'-y+3/4,x+3/4,-z+1/4'
'x+1/2,-y+1/2,-z+1/2'
'-x+1/2,y+1/2,z+1/2'
'-y+3/4,-x+3/4,-z+1/4'
'y+3/4,x+3/4,z+1/4'
'-x,y+1/2,-z'
'x,-y+1/2,z'
'y+3/4,x+1/4,-z+3/4'
'-y+3/4,-x+1/4,z+3/4'
loop_
_atom_site_label
_atom_site_fract_x
_atom_site_fract_y
_atom_site_fract_z
_atom_site_occupancy
Na1 0.0000 0.2500 0.3750 1
Pd1 0.0000 0.0000 0.0000 1
C1 0.0000 0.2500 0.8750 1

***

# Na2YPt (SCAN, PBEsol geometry)
# **Spin magnetization**: 0.00 μB per formula unit
# **Formation energy from the elements**: -1.4 eV per formula unit
# **Density of states at the Fermi level**: 1.443 states/eV/f.u.
# **Crystal system**: tetragonal
data_Na2YPt
_cell_length_a 4.0206
_cell_length_b 4.0206
_cell_length_c 23.4849
_cell_angle_alpha 90.00
_cell_angle_beta 90.00
_cell_angle_gamma 90.00
_space_group_name_H-M_alt 'I -4 2 d'
_space_group_IT_number 122
_space_group_name_Hall 'I -4 2bw'
loop_
_atom_site_label
_atom_site_fract_x
_atom_site_fract_y
_atom_site_fract_z
_atom_site_occupancy
Na1 0.2198 0.2500 0.1250 1
Y1 0.0000 0.0000 0.5000 1
Pt1 0.0000 0.0000 0.0000 1